[1]
# Y3NiAu, relaxed, DFT PBE
data_Y3NiAu
_cell_length_a 5.1678
_cell_length_b 5.1678
_cell_length_c 5.1678
_cell_angle_alpha 90.00
_cell_angle_beta 90.00
_cell_angle_gamma 90.00
_space_group_name_H-M_alt 'P 1'
_space_group_IT_number 1
_space_group_name_Hall 'P 1'
loop_
_atom_site_label
_atom_site_fract_x
_atom_site_fract_y
_atom_site_fract_z
_atom_site_occupancy
Y1 0.0000 0.0000 0.5000 1
Y2 0.0000 0.5000 0.0000 1
Y3 0.5000 0.0000 0.0000 1
Ni1 0.0000 0.0000 0.0000 1
Au1 0.5000 0.5000 0.5000 1
# **VASP energy**: -5.85 eV per atom
# **Relative energy among the computed polymorphs**: 312 meV per atom



[2]
# Hg3Pd6Se, relaxed, DFT PBE
data_Hg3Pd6Se
_cell_length_a 8.2552
_cell_length_b 10.3017
_cell_length_c 4.2517
_cell_angle_alpha 90.00
_cell_angle_beta 90.00
_cell_angle_gamma 90.00
_space_group_name_H-M_alt 'P 1'
_space_group_IT_number 1
_space_group_name_Hall 'P 1'
loop_
_atom_site_label
_atom_site_fract_x
_atom_site_fract_y
_atom_site_fract_z
_atom_site_occupancy
Hg1 0.0000 0.0000 0.0000 1
Hg2 0.1233 0.1953 0.5000 1
Hg3 0.3767 0.6953 0.0000 1
Hg4 0.5000 0.5000 0.5000 1
Hg5 0.6233 0.3047 0.0000 1
Hg6 0.8767 0.8047 0.5000 1
Pd1 0.0596 0.7381 0.0000 1
Pd2 0.1657 0.5734 0.5000 1
Pd3 0.2257 0.8826 0.5000 1
Pd4 0.2743 0.3826 0.0000 1
Pd5 0.3343 0.0734 0.0000 1
Pd6 0.4404 0.2381 0.5000 1
Pd7 0.5596 0.7619 0.5000 1
Pd8 0.6657 0.9266 0.0000 1
Pd9 0.7257 0.6174 0.0000 1
Pd10 0.7743 0.1174 0.5000 1
Pd11 0.8343 0.4266 0.5000 1
Pd12 0.9404 0.2619 0.0000 1
Se1 0.0000 0.5000 0.0000 1
Se2 0.5000 0.0000 0.5000 1
# **Energy relative to the elements, uncorrected**: -0.090 eV per atom
# **VASP energy**: -3.65 eV per atom



[3]
# SrErGaS4, relaxed, DFT PBE
data_SrErGaS4
_cell_length_a 6.5140
_cell_length_b 6.6989
_cell_length_c 8.0280
_cell_angle_alpha 90.00
_cell_angle_beta 106.97
_cell_angle_gamma 90.00
_space_group_name_H-M_alt 'P 1'
_space_group_IT_number 1
_space_group_name_Hall 'P 1'
loop_
_atom_site_label
_atom_site_fract_x
_atom_site_fract_y
_atom_site_fract_z
_atom_site_occupancy
Sr1 0.2458 0.2500 0.0589 1
Sr2 0.7542 0.7500 0.9411 1
Er1 0.2197 0.2500 0.5539 1
Er2 0.7803 0.7500 0.4461 1
Ga1 0.2421 0.7500 0.3233 1
Ga2 0.7579 0.2500 0.6767 1
S1 0.0028 0.5053 0.7259 1
S2 0.0028 0.9947 0.7259 1
S3 0.4451 0.7500 0.1401 1
S4 0.4592 0.7500 0.5970 1
S5 0.5408 0.2500 0.4030 1
S6 0.5549 0.2500 0.8599 1
S7 0.9972 0.0053 0.2741 1
S8 0.9972 0.4947 0.2741 1
# **Energy relative to the elements, uncorrected**: -1.561 eV per atom
# **VASP energy**: -5.24 eV per atom



[4]
# Ir8Ru2W, relaxed, DFT PBE
data_Ir8Ru2W
_cell_length_a 7.0454
_cell_length_b 7.0454
_cell_length_c 4.6022
_cell_angle_alpha 104.75
_cell_angle_beta 104.75
_cell_angle_gamma 120.10
_space_group_name_H-M_alt 'P 1'
_space_group_IT_number 1
_space_group_name_Hall 'P 1'
loop_
_atom_site_label
_atom_site_fract_x
_atom_site_fract_y
_atom_site_fract_z
_atom_site_occupancy
Ir1 0.0925 0.3219 0.6446 1
Ir2 0.2137 0.7863 0.0000 1
Ir3 0.3219 0.0925 0.6446 1
Ir4 0.4247 0.4247 0.1951 1
Ir5 0.5753 0.5753 0.8049 1
Ir6 0.6781 0.9075 0.3554 1
Ir7 0.7863 0.2137 0.0000 1
Ir8 0.9075 0.6781 0.3554 1
Ru1 0.3090 0.6910 0.5000 1
Ru2 0.6910 0.3090 0.5000 1
W1 0.0000 0.0000 0.0000 1
# **VASP energy**: -9.00 eV per atom



[5]
# La2TbFe, relaxed, DFT PBE
data_La2TbFe
_cell_length_a 3.8812
_cell_length_b 9.6503
_cell_length_c 6.3668
_cell_angle_alpha 90.00
_cell_angle_beta 107.65
_cell_angle_gamma 90.00
_space_group_name_H-M_alt 'P 1'
_space_group_IT_number 1
_space_group_name_Hall 'P 1'
loop_
_atom_site_label
_atom_site_fract_x
_atom_site_fract_y
_atom_site_fract_z
_atom_site_occupancy
La1 0.1394 0.0753 0.2801 1
La2 0.1394 0.4247 0.2801 1
La3 0.8606 0.5753 0.7199 1
La4 0.8606 0.9247 0.7199 1
Tb1 0.4118 0.2500 0.8207 1
Tb2 0.5882 0.7500 0.1793 1
Fe1 0.2500 0.7500 0.5043 1
Fe2 0.7500 0.2500 0.4957 1
# **VASP energy**: -5.66 eV per atom



[6]
# MnBeCdB2, relaxed, DFT PBE
data_MnBeCdB2
_cell_length_a 3.6536
_cell_length_b 3.6536
_cell_length_c 4.5040
_cell_angle_alpha 90.00
_cell_angle_beta 90.00
_cell_angle_gamma 90.00
_space_group_name_H-M_alt 'P 1'
_space_group_IT_number 1
_space_group_name_Hall 'P 1'
loop_
_atom_site_label
_atom_site_fract_x
_atom_site_fract_y
_atom_site_fract_z
_atom_site_occupancy
Mn1 0.0000 0.0000 0.0000 1
Be1 0.5000 0.5000 0.5000 1
Cd1 0.5000 0.5000 0.0000 1
B1 0.0000 0.5000 0.5000 1
B2 0.5000 0.0000 0.5000 1
# **VASP energy**: -3.85 eV per atom



[7]
# Hf2UPd, relaxed, DFT PBE
data_Hf2UPd
_cell_length_a 5.0662
_cell_length_b 5.0662
_cell_length_c 3.0681
_cell_angle_alpha 90.00
_cell_angle_beta 90.00
_cell_angle_gamma 90.00
_space_group_name_H-M_alt 'P 1'
_space_group_IT_number 1
_space_group_name_Hall 'P 1'
loop_
_atom_site_label
_atom_site_fract_x
_atom_site_fract_y
_atom_site_fract_z
_atom_site_occupancy
Hf1 0.0000 0.5000 0.0000 1
Hf2 0.5000 0.0000 0.0000 1
U1 0.0000 0.0000 0.5000 1
Pd1 0.5000 0.5000 0.5000 1
# **VASP energy**: -9.19 eV per atom
# **Relative energy among the computed polymorphs**: 94 meV per atom



[8]
# YMgS2N, relaxed, DFT PBE
data_YMgS2N
_cell_length_a 5.2799
_cell_length_b 5.2799
_cell_length_c 4.3596
_cell_angle_alpha 90.00
_cell_angle_beta 90.00
_cell_angle_gamma 90.00
_space_group_name_H-M_alt 'P 1'
_space_group_IT_number 1
_space_group_name_Hall 'P 1'
loop_
_atom_site_label
_atom_site_fract_x
_atom_site_fract_y
_atom_site_fract_z
_atom_site_occupancy
Y1 0.0000 0.0000 0.0000 1
Mg1 0.5000 0.5000 0.5000 1
S1 0.0000 0.5000 0.0000 1
S2 0.5000 0.0000 0.0000 1
N1 0.0000 0.0000 0.5000 1
# **Energy relative to the elements, uncorrected**: -0.171 eV per atom
# **VASP energy**: -5.10 eV per atom
# **Relative energy among the computed polymorphs**: 288 meV per atom



[9]
# KYZn2, relaxed, DFT PBE
data_KYZn2
_cell_length_a 3.5964
_cell_length_b 3.5964
_cell_length_c 9.0228
_cell_angle_alpha 90.00
_cell_angle_beta 90.00
_cell_angle_gamma 90.00
_space_group_name_H-M_alt 'P 1'
_space_group_IT_number 1
_space_group_name_Hall 'P 1'
loop_
_atom_site_label
_atom_site_fract_x
_atom_site_fract_y
_atom_site_fract_z
_atom_site_occupancy
K1 0.0000 0.0000 0.0000 1
Y1 0.5000 0.5000 0.3963 1
Zn1 0.0000 0.0000 0.5811 1
Zn2 0.5000 0.5000 0.7264 1
# **VASP energy**: -2.41 eV per atom
# **Relative energy among the computed polymorphs**: 145 meV per atom



[10]
# AlCuHg4, relaxed, DFT PBE
data_AlCuHg4
_cell_length_a 5.9032
_cell_length_b 5.9032
_cell_length_c 5.9032
_cell_angle_alpha 60.00
_cell_angle_beta 60.00
_cell_angle_gamma 60.00
_space_group_name_H-M_alt 'P 1'
_space_group_IT_number 1
_space_group_name_Hall 'P 1'
loop_
_atom_site_label
_atom_site_fract_x
_atom_site_fract_y
_atom_site_fract_z
_atom_site_occupancy
Al1 0.0000 0.0000 0.0000 1
Cu1 0.7500 0.7500 0.7500 1
Hg1 0.3753 0.3753 0.3753 1
Hg2 0.3753 0.3753 0.8742 1
Hg3 0.3753 0.8742 0.3753 1
Hg4 0.8742 0.3753 0.3753 1
# **VASP energy**: -1.00 eV per atom



Question: What is the VASP energy in the fourth record?
Answer: -9.00 eV per atom



Question: The lowest VASP energy belongs to which entry?
Answer: Hf2UPd